5
Lattice="5.017 0.000 0.000 0.000 5.017 0.000 0.000 0.000 5.017" Properties=species:S:1:pos:R:3 comment="Re3GeBi PBE relaxed" ef_ev_per_atom=3.1718 dos_ef_per_ev_cell=4.5 polymorph_energy_mev_per_atom=1466 pbc="T T T"
Re 0.000 0.000 2.508
Re 0.000 2.508 0.000
Re 2.508 0.000 0.000
Ge 2.508 2.508 2.508
Bi 0.000 0.000 0.000